Below is crystalline AcTb3Y at its relaxed geometry, with properties calculated at the GGA-PBE level.

Properties
E above lowest polymorph (kJ per mole of atoms): 6.1
Magnetization (Bohr magnetons per cell): 0.0

a = 9.4896 Å, b = 9.4896 Å, c = 8.6317 Å
α = 111.27°, β = 111.27°, γ = 30.21°
Sites, in units of the cell vectors:
Ac1 0.1151 0.1151 0.1495
Ac2 0.8849 0.8849 0.8505
Tb1 0.0568 0.0568 0.6970
Tb2 0.2271 0.2271 0.6266
Tb3 0.4157 0.4157 0.5555
Tb4 0.5843 0.5843 0.4445
Tb5 0.7729 0.7729 0.3734
Tb6 0.9432 0.9432 0.3030
Y1 0.3123 0.3123 0.1113
Y2 0.6877 0.6877 0.8887

Below is crystalline AcTb7Y2 at its relaxed geometry, with properties calculated at the GGA-PBE level.

Properties
E above lowest polymorph (kJ per mole of atoms): 60.6
Magnetization (Bohr magnetons per cell): 0.0

a = 9.2177 Å, b = 9.2177 Å, c = 5.7550 Å
α = 90.00°, β = 90.00°, γ = 123.34°
Sites, in units of the cell vectors:
Ac1 0.0000 0.0000 0.0000
Tb1 0.0613 0.2929 0.5000
Tb2 0.2239 0.7761 0.0000
Tb3 0.2929 0.0613 0.5000
Tb4 0.5000 0.5000 0.5000
Tb5 0.7071 0.9387 0.5000
Tb6 0.7761 0.2239 0.0000
Tb7 0.9387 0.7071 0.5000
Y1 0.2954 0.7046 0.5000
Y2 0.7046 0.2954 0.5000

Below is crystalline Ac8Tb2Y3 at its relaxed geometry, with properties calculated at the GGA-PBE level.

Properties
Magnetization (Bohr magnetons per cell): 0.0

a = 6.6166 Å, b = 8.5470 Å, c = 10.1461 Å
α = 65.46°, β = 89.85°, γ = 82.54°
Sites, in units of the cell vectors:
Ac1 0.0807 0.0421 0.3060
Ac2 0.1575 0.5806 0.6129
Ac3 0.2335 0.1171 0.9203
Ac4 0.3094 0.6446 0.2273
Ac5 0.6906 0.3554 0.7727
Ac6 0.7665 0.8829 0.0797
Ac7 0.8425 0.4194 0.3871
Ac8 0.9193 0.9579 0.6940
Tb1 0.3873 0.1825 0.5392
Tb2 0.6127 0.8175 0.4608
Y1 0.0000 0.5000 0.0000
Y2 0.4613 0.7278 0.8456
Y3 0.5387 0.2722 0.1544

Energy of formation from the pure elements for every record listed, in sequence, given in eV/atom: 0.15; 0.68; 0.05.
Final energy for every record listed, in sequence, given in eV per atom: -4.739; -4.262; -4.678.